Computed, not measured: an optimized crystal structure of InOs2Cl at the PBE-GGA level of DFT.

a b c (Å): 4.8076 3.0973 4.7198
angles (deg): 89.96 90.00 90.00
With the nearest neighbours (Å) after each atom.
Positions (direct):
1 Cl 0.5000 0.2500 0.2500  4 Os 2.75, 4 In 2.82
2 Os 0.0000 0.0949 0.9883  2 Os 2.45-2.65
3 Os 0.0000 0.4051 0.5117  2 Os 2.45-2.65
4 In 0.5000 0.7500 0.7500  4 Cl 2.82, 4 Os 2.86, 2 In 3.10

- DOS at the Fermi energy (states/eV/cell) = 3.0
- total energy (eV per atom) = -5.7945